(1)
Below is a relaxed structure of Gd3TlC, with properties calculated at the PBE level.

Calculated values
- Energy of formation from the pure elements: -39.95 kJ per mole of atoms
- Total magnetic moment: 21.3 μB per formula unit

a = 4.982 Å, b = 4.982 Å, c = 4.982 Å
α = 90.00°, β = 90.00°, γ = 90.00°
Space group Pm-3m (No. 221)
One atom of each set of equivalent atoms:
Gd  0.000  0.000  0.500 [3 per cell]
Tl  0.500  0.500  0.500 [1 per cell]
C  0.000  0.000  0.000 [1 per cell]

(2)
Below is a relaxed structure of GdTm3C, with properties calculated at the PBE level.

Calculated values
- Energy of formation from the pure elements: -3.88 kJ per mole of atoms
- Total magnetic moment: 8.4 μB per formula unit

a = 4.977 Å, b = 4.977 Å, c = 4.977 Å
α = 90.00°, β = 90.00°, γ = 90.00°
Space group Pm-3m (No. 221)
One atom of each set of equivalent atoms:
Gd  0.000  0.000  0.000 [1 per cell]
Tm  0.000  0.500  0.500 [3 per cell]
C  0.500  0.500  0.500 [1 per cell]

(3)
Below is a relaxed structure of GdV2C, with properties calculated at the PBE level.

Calculated values
- Energy of formation from the pure elements: 7.03 kJ per mole of atoms
- Total magnetic moment: 7.8 μB per formula unit

a = 3.0724 Å, b = 3.0724 Å, c = 23.5737 Å
α = 90.00°, β = 90.00°, γ = 120.00°
Space group R-3m (No. 166, hexagonal axes)
One atom of each set of equivalent atoms:
Gd  0.0000  0.0000  0.0000 [3 per cell]
V  0.0000  0.0000  0.1244 [6 per cell]
C  0.0000  0.0000  0.5000 [3 per cell]

(4)
Below is a relaxed structure of GdVC2, with properties calculated at the PBE level.

Calculated values
- Energy of formation from the pure elements: -10.19 kJ per mole of atoms
- Total magnetic moment: 6.9 μB per formula unit

a = 3.2062 Å, b = 3.2062 Å, c = 16.4470 Å
α = 90.00°, β = 90.00°, γ = 120.00°
Space group R-3m (No. 166, hexagonal axes)
One atom of each set of equivalent atoms:
Gd  0.0000  0.0000  0.0000 [3 per cell]
V  0.0000  0.0000  0.5000 [3 per cell]
C  0.0000  0.0000  0.2339 [6 per cell]

(5)
Below is a relaxed structure of Gd2VC, with properties calculated at the PBE level.

Calculated values
- Energy of formation from the pure elements: 43.78 kJ per mole of atoms
- Total magnetic moment: 18.0 μB per formula unit

a = 3.4695 Å, b = 3.4695 Å, c = 26.7816 Å
α = 90.00°, β = 90.00°, γ = 120.00°
Space group R-3m (No. 166, hexagonal axes)
One atom of each set of equivalent atoms:
Gd  0.0000  0.0000  0.1146 [6 per cell]
V  0.0000  0.0000  0.0000 [3 per cell]
C  0.0000  0.0000  0.5000 [3 per cell]

(6)
Below is a relaxed structure of Gd2WC, with properties calculated at the PBE level.

Calculated values
- Energy of formation from the pure elements: 74.25 kJ per mole of atoms
- Total magnetic moment: 13.7 μB per formula unit

a = 3.3025 Å, b = 3.3025 Å, c = 26.3813 Å
α = 90.00°, β = 90.00°, γ = 120.00°
Space group R-3m (No. 166, hexagonal axes)
One atom of each set of equivalent atoms:
Gd  0.0000  0.0000  0.1122 [6 per cell]
W  0.0000  0.0000  0.0000 [3 per cell]
C  0.0000  0.0000  0.5000 [3 per cell]

(7)
Below is a relaxed structure of GdY3C, with properties calculated at the PBE level.

Calculated values
- Energy of formation from the pure elements: -1.89 kJ per mole of atoms
- Total magnetic moment: 9.0 μB per formula unit

a = 5.077 Å, b = 5.077 Å, c = 5.077 Å
α = 90.00°, β = 90.00°, γ = 90.00°
Space group Pm-3m (No. 221)
One atom of each set of equivalent atoms:
Gd  0.000  0.000  0.000 [1 per cell]
Y  0.000  0.500  0.500 [3 per cell]
C  0.500  0.500  0.500 [1 per cell]

(8)
Below is a relaxed structure of GdYC, with properties calculated at the PBE level.

Calculated values
- Energy of formation from the pure elements: -23.57 kJ per mole of atoms
- Total magnetic moment: 7.7 μB per formula unit

a = 3.6108 Å, b = 3.6108 Å, c = 6.2960 Å
α = 90.00°, β = 90.00°, γ = 120.00°
Space group P3m1 (No. 156)
One atom of each set of equivalent atoms:
Gd  0.0000  0.0000  0.0000 [1 per cell]
Y  0.3333  0.6667  0.4309 [1 per cell]
C  0.6667  0.3333  0.2173 [1 per cell]